Density functional theory data (GGA+U) for a relaxed structure of K4MoC4N4O2.

a b c (Å): 6.391 13.798 8.902
angles (deg): 90.00 118.17 90.00
Space group P2_1/c (No. 14)
Unique sites:
K 0.141 0.244 0.496 [4 per cell]
K 0.155 0.506 0.257 [4 per cell]
Mo 0.500 0.000 0.500 [2 per cell]
C 0.280 0.634 0.905 [4 per cell]
C 0.368 0.047 0.232 [4 per cell]
N 0.152 0.702 0.850 [4 per cell]
N 0.313 0.069 0.090 [4 per cell]
O 0.246 0.063 0.509 [4 per cell]

Results
- final energy (eV per atom) = -6.69
- DOS(E_F) (states/eV/cell) = 0.0
- M_tot (Bohr magnetons per cell) = 0.1